(1)
An optimized crystal structure of LiCa2CuN2. Source: Alexandria via LeMat-Bulk, functional GGA-PBE.

Unit cell a=5.304 b=5.304 c=6.618 alpha=90.00 beta=90.00 gamma=90.00
Element x y z (fractional)
Li 0.500 0.500 0.500
Li 0.000 0.000 0.000
Ca 0.000 0.500 0.250
Ca 0.500 0.000 0.750
Ca 0.000 0.500 0.750
Ca 0.500 0.000 0.250
Cu 0.500 0.500 0.000
Cu 0.000 0.000 0.500
N 0.248 0.752 0.500
N 0.752 0.248 0.500
N 0.252 0.252 0.000
N 0.748 0.748 0.000

(2)
An optimized crystal structure of Tb2HfSe5. Source: Alexandria via LeMat-Bulk, functional GGA-PBE.

Unit cell a=5.487 b=7.364 c=13.318 alpha=90.00 beta=90.00 gamma=111.87
Element x y z (fractional)
Tb 0.852 0.704 0.439
Tb 0.852 0.704 0.061
Tb 0.148 0.296 0.561
Tb 0.148 0.296 0.939
Hf 0.809 0.618 0.750
Hf 0.191 0.382 0.250
Se 0.952 0.904 0.877
Se 0.952 0.904 0.623
Se 0.312 0.624 0.415
Se 0.312 0.624 0.085
Se 0.733 0.466 0.250
Se 0.267 0.534 0.750
Se 0.688 0.376 0.585
Se 0.688 0.376 0.915
Se 0.048 0.096 0.123
Se 0.048 0.096 0.377

Number 1: ΔE_f (raw) -0.64 eV/atom. Number 2: ΔE_f (raw) -1.59 eV/atom.